Record 1
A relaxed structure of MgTe2C. Source: Alexandria via LeMat-Bulk, functional PBE.

The space group is Fm-3m (No. 225) and the conventional cell measures 6.955, 6.955 and 6.955 Å, with angles of 90.00, 90.00 and 90.00 degrees. Symmetry generates all atoms from Mg at (0.000, 0.000, 0.000), Te at (0.250, 0.250, 0.250) and C at (0.000, 0.000, 0.500).

As for the raw formation energy: 1.2832 eV/atom. For the density, the calculation gives 5.76 g/cm³. Its density of states at the Fermi level is 10.9 states/eV per cell.

Record 2
A relaxed structure of MgTe3C. Source: Alexandria via LeMat-Bulk, functional PBE.

The space group is Pm-3m (No. 221) and the conventional cell measures 5.414, 5.414 and 5.414 Å, with angles of 90.00, 90.00 and 90.00 degrees. Symmetry generates all atoms from Mg at (0.000, 0.000, 0.000), Te at (0.000, 0.000, 0.500) and C at (0.500, 0.500, 0.500).

As for the raw formation energy: 1.6166 eV/atom. For the density, the calculation gives 4.38 g/cm³. Its density of states at the Fermi level is 6.7 states/eV per cell.

Record 3
A relaxed structure of Mg2TeC. Source: Alexandria via LeMat-Bulk, functional PBE.

The space group is I-42d (No. 122) and the conventional cell measures 7.466, 7.466 and 5.705 Å, with angles of 90.00, 90.00 and 90.00 degrees. Symmetry generates all atoms from Mg at (0.116, 0.250, 0.125), Te at (0.000, 0.000, 0.500) and C at (0.000, 0.000, 0.000).

As for the raw formation energy: 0.3431 eV/atom. For the density, the calculation gives 3.93 g/cm³. Its density of states at the Fermi level is 2.2 states/eV per cell.

Record 4
A relaxed structure of MgTe2C. Source: Alexandria via LeMat-Bulk, functional PBE.

The space group is R-3m (No. 166, hexagonal axes) and the conventional cell measures 4.4999, 4.4999 and 21.0018 Å, with angles of 90.00, 90.00 and 120.00 degrees. Symmetry generates all atoms from Mg at (0.0000, 0.0000, 0.0000), Te at (0.0000, 0.0000, 0.4064) and C at (0.0000, 0.0000, 0.5000).

As for the raw formation energy: 0.7972 eV/atom. For the density, the calculation gives 3.94 g/cm³. Its density of states at the Fermi level is 7.5 states/eV per cell.

Record 5
A relaxed structure of MgTe2WC. Source: Alexandria via LeMat-Bulk, functional PBE.

The space group is P4/mmm (No. 123) and the conventional cell measures 5.269, 5.269 and 3.864 Å, with angles of 90.00, 90.00 and 90.00 degrees. Symmetry generates all atoms from Mg at (0.000, 0.000, 0.000), Te at (0.000, 0.500, 0.000), W at (0.500, 0.500, 0.500) and C at (0.000, 0.000, 0.500).

As for the raw formation energy: 1.9086 eV/atom. For the density, the calculation gives 7.36 g/cm³. Its density of states at the Fermi level is 5.4 states/eV per cell.

Record 6
A relaxed structure of Th3MgC3. Source: Alexandria via LeMat-Bulk, functional PBE.

The space group is P4/mmm (No. 123) and the conventional cell measures 3.791, 3.791 and 9.717 Å, with angles of 90.00, 90.00 and 90.00 degrees. Symmetry generates all atoms from Th at (0.000, 0.000, 0.000), Th at (0.500, 0.500, 0.268), Mg at (0.000, 0.000, 0.500), C at (0.000, 0.000, 0.263) and C at (0.500, 0.500, 0.000).

For the density, the calculation gives 9.00 g/cm³. Its density of states at the Fermi level is 4.4 states/eV per cell.

Record 7
A relaxed structure of Th3MgC. Source: Alexandria via LeMat-Bulk, functional PBE.

The space group is Pm-3m (No. 221) and the conventional cell measures 5.113, 5.113 and 5.113 Å, with angles of 90.00, 90.00 and 90.00 degrees. Symmetry generates all atoms from Th at (0.000, 0.000, 0.500), Mg at (0.500, 0.500, 0.500) and C at (0.000, 0.000, 0.000).

For the density, the calculation gives 9.10 g/cm³. Its density of states at the Fermi level is 2.0 states/eV per cell.

Record 8
A relaxed structure of Th3Mg2C2. Source: Alexandria via LeMat-Bulk, functional PBE.

The space group is P-1 (No. 2) and the conventional cell measures 3.594, 6.413 and 8.090 Å, with angles of 103.30, 102.79 and 106.27 degrees. Symmetry generates all atoms from Th at (0.000, 0.000, 0.000), Th at (0.416, 0.620, 0.213), Mg at (0.192, 0.751, 0.631) and C at (0.287, 0.668, 0.907).

For the density, the calculation gives 7.70 g/cm³. Its density of states at the Fermi level is 3.8 states/eV per cell.

Record 9
A relaxed structure of TmTh2MgC. Source: Alexandria via LeMat-Bulk, functional PBE.

The space group is P4/mmm (No. 123) and the conventional cell measures 5.116, 5.116 and 4.904 Å, with angles of 90.00, 90.00 and 90.00 degrees. Symmetry generates all atoms from Tm at (0.000, 0.000, 0.000), Th at (0.000, 0.500, 0.500), Mg at (0.500, 0.500, 0.000) and C at (0.000, 0.000, 0.500).

For the density, the calculation gives 8.66 g/cm³. Its density of states at the Fermi level is 3.3 states/eV per cell.

Record 10
A relaxed structure of Y2ThMgC. Source: Alexandria via LeMat-Bulk, functional PBE.

The space group is P4/mmm (No. 123) and the conventional cell measures 5.002, 5.002 and 5.098 Å, with angles of 90.00, 90.00 and 90.00 degrees. Symmetry generates all atoms from Y at (0.000, 0.500, 0.000), Th at (0.000, 0.000, 0.500), Mg at (0.500, 0.500, 0.500) and C at (0.000, 0.000, 0.000).

For the density, the calculation gives 5.81 g/cm³. Its density of states at the Fermi level is 5.2 states/eV per cell.

Record 11
A relaxed structure of MgTiC. Source: Alexandria via LeMat-Bulk, functional PBE.

The space group is P2_1/m (No. 11) and the conventional cell measures 3.246, 4.314 and 6.249 Å, with angles of 90.00, 90.08 and 90.00 degrees. Symmetry generates all atoms from Mg at (0.249, 0.250, 0.132), Ti at (0.250, 0.250, 0.593) and C at (0.250, 0.750, 0.612).

For the density, the calculation gives 3.19 g/cm³. Its density of states at the Fermi level is 1.4 states/eV per cell.

Record 12
A relaxed structure of Mg6TiC. Source: Alexandria via LeMat-Bulk, functional PBE.

The space group is Amm2 (No. 38) and the conventional cell measures 3.178, 9.905 and 10.512 Å, with angles of 90.00, 90.00 and 90.00 degrees. Symmetry generates all atoms from Mg at (0.000, 0.000, 0.000), Mg at (0.000, 0.150, 0.730), Mg at (0.500, 0.000, 0.251), Mg at (0.500, 0.244, 0.471), Ti at (0.000, 0.000, 0.502) and C at (0.500, 0.000, 0.621).

For the density, the calculation gives 2.06 g/cm³. Its density of states at the Fermi level is 10.0 states/eV per cell.

Record 13
A relaxed structure of MgTiC3. Source: Alexandria via LeMat-Bulk, functional PBE.

The space group is Pm-3m (No. 221) and the conventional cell measures 4.024, 4.024 and 4.024 Å, with angles of 90.00, 90.00 and 90.00 degrees. Symmetry generates all atoms from Mg at (0.000, 0.000, 0.000), Ti at (0.500, 0.500, 0.500) and C at (0.000, 0.500, 0.500).

For the density, the calculation gives 2.76 g/cm³. Its density of states at the Fermi level is 1.6 states/eV per cell.

Record 14
A relaxed structure of Mg3TiC. Source: Alexandria via LeMat-Bulk, functional PBE.

The space group is Pm-3m (No. 221) and the conventional cell measures 5.444, 5.444 and 5.444 Å, with angles of 90.00, 90.00 and 90.00 degrees. Symmetry generates all atoms from Mg at (0.000, 0.000, 0.500), Ti at (0.000, 0.000, 0.000) and C at (0.500, 0.500, 0.500).

For the density, the calculation gives 1.37 g/cm³. Its density of states at the Fermi level is 10.0 states/eV per cell.

Record 15
A relaxed structure of Mg2TiC. Source: Alexandria via LeMat-Bulk, functional PBE.

The space group is Fm-3m (No. 225) and the conventional cell measures 6.351, 6.351 and 6.351 Å, with angles of 90.00, 90.00 and 90.00 degrees. Symmetry generates all atoms from Mg at (0.250, 0.250, 0.250), Ti at (0.000, 0.000, 0.000) and C at (0.000, 0.000, 0.500).

For the density, the calculation gives 2.81 g/cm³. Its density of states at the Fermi level is 21.1 states/eV per cell.

Record 16
A relaxed structure of MgTiC3. Source: Alexandria via LeMat-Bulk, functional PBE.

The space group is Pm-3m (No. 221) and the conventional cell measures 3.933, 3.933 and 3.933 Å, with angles of 90.00, 90.00 and 90.00 degrees. Symmetry generates all atoms from Mg at (0.000, 0.000, 0.000), Ti at (0.500, 0.500, 0.500) and C at (0.000, 0.000, 0.500).

For the density, the calculation gives 2.95 g/cm³. Its density of states at the Fermi level is 2.8 states/eV per cell.

Record 17
A relaxed structure of Mg3TiC. Source: Alexandria via LeMat-Bulk, functional PBE.

The space group is Pm-3m (No. 221) and the conventional cell measures 4.428, 4.428 and 4.428 Å, with angles of 90.00, 90.00 and 90.00 degrees. Symmetry generates all atoms from Mg at (0.000, 0.000, 0.500), Ti at (0.500, 0.500, 0.500) and C at (0.000, 0.000, 0.000).

For the density, the calculation gives 2.54 g/cm³. Its density of states at the Fermi level is 4.9 states/eV per cell.

Record 18
A relaxed structure of Mg6TiC. Source: Alexandria via LeMat-Bulk, functional PBE.

The space group is Amm2 (No. 38) and the conventional cell measures 4.329, 5.684 and 12.675 Å, with angles of 90.00, 90.00 and 90.00 degrees. Symmetry generates all atoms from Mg at (0.000, 0.000, 0.000), Mg at (0.000, 0.000, 0.472), Mg at (0.000, 0.238, 0.261), Mg at (0.500, 0.248, 0.114), Ti at (0.500, 0.000, 0.856) and C at (0.500, 0.000, 0.261).

For the density, the calculation gives 2.19 g/cm³. Its density of states at the Fermi level is 10.2 states/eV per cell.

Record 19
A relaxed structure of Mg2TiC. Source: Alexandria via LeMat-Bulk, functional PBE.

The space group is I-42d (No. 122) and the conventional cell measures 7.995, 7.995 and 4.250 Å, with angles of 90.00, 90.00 and 90.00 degrees. Symmetry generates all atoms from Mg at (0.126, 0.250, 0.125), Ti at (0.000, 0.000, 0.500) and C at (0.000, 0.000, 0.000).

For the density, the calculation gives 2.65 g/cm³. Its density of states at the Fermi level is 14.6 states/eV per cell.

Record 20
A relaxed structure of MgTi2TlC. Source: Alexandria via LeMat-Bulk, functional PBE.

The space group is P4/mmm (No. 123) and the conventional cell measures 4.267, 4.267 and 4.406 Å, with angles of 90.00, 90.00 and 90.00 degrees. Symmetry generates all atoms from Mg at (0.000, 0.000, 0.000), Ti at (0.000, 0.500, 0.500), Tl at (0.500, 0.500, 0.000) and C at (0.000, 0.000, 0.500).

For the density, the calculation gives 6.96 g/cm³. Its density of states at the Fermi level is 2.7 states/eV per cell.

Record 21
A relaxed structure of YMgTi2C. Source: Alexandria via LeMat-Bulk, functional PBE.

The space group is P4/mmm (No. 123) and the conventional cell measures 4.339, 4.339 and 4.862 Å, with angles of 90.00, 90.00 and 90.00 degrees. Symmetry generates all atoms from Y at (0.000, 0.000, 0.000), Mg at (0.500, 0.500, 0.000), Ti at (0.000, 0.500, 0.500) and C at (0.000, 0.000, 0.500).

For the density, the calculation gives 4.01 g/cm³. Its density of states at the Fermi level is 5.4 states/eV per cell.

Record 22
A relaxed structure of MgZr2TiC. Source: Alexandria via LeMat-Bulk, functional PBE.

The space group is P4/mmm (No. 123) and the conventional cell measures 4.607, 4.607 and 4.277 Å, with angles of 90.00, 90.00 and 90.00 degrees. Symmetry generates all atoms from Mg at (0.000, 0.000, 0.000), Zr at (0.000, 0.500, 0.500), Ti at (0.500, 0.500, 0.000) and C at (0.500, 0.500, 0.500).

For the density, the calculation gives 4.88 g/cm³. Its density of states at the Fermi level is 3.0 states/eV per cell.

Record 23
A relaxed structure of Mg3TlC. Source: Alexandria via LeMat-Bulk, functional PBE.

The space group is Pm-3m (No. 221) and the conventional cell measures 4.509, 4.509 and 4.509 Å, with angles of 90.00, 90.00 and 90.00 degrees. Symmetry generates all atoms from Mg at (0.000, 0.000, 0.500), Tl at (0.500, 0.500, 0.500) and C at (0.000, 0.000, 0.000).

For the density, the calculation gives 5.24 g/cm³. Its density of states at the Fermi level is 1.7 states/eV per cell.

Record 24
A relaxed structure of Mg3TlC. Source: Alexandria via LeMat-Bulk, functional PBE.

The space group is Pm-3m (No. 221) and the conventional cell measures 5.338, 5.338 and 5.338 Å, with angles of 90.00, 90.00 and 90.00 degrees. Symmetry generates all atoms from Mg at (0.000, 0.000, 0.500), Tl at (0.000, 0.000, 0.000) and C at (0.500, 0.500, 0.500).

For the density, the calculation gives 3.16 g/cm³. Its density of states at the Fermi level is 0.5 states/eV per cell.

Record 25
A relaxed structure of Mg2TlC. Source: Alexandria via LeMat-Bulk, functional PBE.

The space group is I-42d (No. 122) and the conventional cell measures 6.630, 6.630 and 9.480 Å, with angles of 90.00, 90.00 and 90.00 degrees. Symmetry generates all atoms from Mg at (0.023, 0.250, 0.125), Tl at (0.000, 0.000, 0.500) and C at (0.000, 0.000, 0.000).

For the density, the calculation gives 4.22 g/cm³. Its density of states at the Fermi level is 15.6 states/eV per cell.

Record 26
A relaxed structure of MgTl3C. Source: Alexandria via LeMat-Bulk, functional PBE.

The space group is Pm-3m (No. 221) and the conventional cell measures 5.547, 5.547 and 5.547 Å, with angles of 90.00, 90.00 and 90.00 degrees. Symmetry generates all atoms from Mg at (0.000, 0.000, 0.000), Tl at (0.000, 0.000, 0.500) and C at (0.500, 0.500, 0.500).

For the density, the calculation gives 6.32 g/cm³. Its density of states at the Fermi level is 2.6 states/eV per cell.

Record 27
A relaxed structure of MgTl2C. Source: Alexandria via LeMat-Bulk, functional PBE.

The space group is Fm-3m (No. 225) and the conventional cell measures 6.987, 6.987 and 6.987 Å, with angles of 90.00, 90.00 and 90.00 degrees. Symmetry generates all atoms from Mg at (0.000, 0.000, 0.000), Tl at (0.250, 0.250, 0.250) and C at (0.000, 0.000, 0.500).

For the density, the calculation gives 8.67 g/cm³. Its density of states at the Fermi level is 0.7 states/eV per cell.

Record 28
A relaxed structure of MgTl3C. Source: Alexandria via LeMat-Bulk, functional PBE.

The space group is Pm-3m (No. 221) and the conventional cell measures 5.077, 5.077 and 5.077 Å, with angles of 90.00, 90.00 and 90.00 degrees. Symmetry generates all atoms from Mg at (0.000, 0.000, 0.000), Tl at (0.000, 0.500, 0.500) and C at (0.500, 0.500, 0.500).

For the density, the calculation gives 8.24 g/cm³. Its density of states at the Fermi level is 2.7 states/eV per cell.

| no. | energy (eV for the cell shown) |
| --- | --- |
| 1 | -47.88 |
| 2 | -12.16 |
| 3 | -56.73 |
| 4 | -41.74 |
| 5 | -20.51 |
| 6 | -53.02 |
| 7 | -33.76 |
| 8 | -44.69 |
| 9 | -30.90 |
| 10 | -32.06 |
| 11 | -39.29 |
| 12 | -50.63 |
| 13 | -29.70 |
| 14 | -10.35 |
| 15 | -58.93 |
| 16 | -25.03 |
| 17 | -18.99 |
| 18 | -44.47 |
| 19 | -75.01 |
| 20 | -30.10 |
| 21 | -33.96 |
| 22 | -37.42 |
| 23 | -15.58 |
| 24 | -8.87 |
| 25 | -49.98 |
| 26 | -10.21 |
| 27 | -41.61 |
| 28 | -13.21 |